Entry 1:
{"formula": "Nd2IrI", "functional": "PBE", "state": "relaxed", "cell": [[3.588, 0.000, 0.000], [0.000, 3.588, 0.000], [0.000, 0.000, 8.553]], "species": ["Nd", "Nd", "Ir", "I"], "fractional_positions": [[0.000, 0.000, 0.202], [0.000, 0.000, 0.798], [0.500, 0.500, 0.000], [0.500, 0.500, 0.500]], "e_above_lowest_polymorph_ev_per_atom": 0.2458, "dos_at_fermi_per_ev_cell": 3.2, "e_form_raw_ev_per_atom": -0.72, "final_energy_ev_per_atom": -5.703}

Entry 2:
{"formula": "Nd2IrI2", "functional": "PBE", "state": "relaxed", "cell": [[11.927, -2.140, 0.000], [11.927, 2.140, 0.000], [-0.056, 0.000, 6.981]], "species": ["Nd", "Nd", "Nd", "Nd", "Ir", "Ir", "I", "I", "I", "I"], "fractional_positions": [[0.170, 0.170, 0.380], [0.308, 0.308, 0.110], [0.692, 0.692, 0.890], [0.830, 0.830, 0.620], [0.255, 0.255, 0.699], [0.745, 0.745, 0.301], [0.094, 0.094, 0.746], [0.418, 0.418, 0.788], [0.582, 0.582, 0.212], [0.906, 0.906, 0.254]], "e_above_lowest_polymorph_ev_per_atom": 0.0365, "dos_at_fermi_per_ev_cell": 4.3, "e_form_raw_ev_per_atom": -1.01, "final_energy_ev_per_atom": -5.314}

Entry 3:
{"formula": "Nd2IrI2", "functional": "PBE", "state": "relaxed", "cell": [[3.666, -2.116, 0.000], [3.666, 2.116, 0.000], [-2.702, 0.000, 12.102]], "species": ["Nd", "Nd", "Ir", "I", "I"], "fractional_positions": [[0.215, 0.215, 0.131], [0.785, 0.785, 0.869], [0.500, 0.500, 0.000], [0.052, 0.052, 0.688], [0.948, 0.948, 0.312]], "e_above_lowest_polymorph_ev_per_atom": 0.0000, "dos_at_fermi_per_ev_cell": 3.2, "e_form_raw_ev_per_atom": -1.05, "final_energy_ev_per_atom": -5.350}

Entry 4:
{"formula": "Nd6Ir3I2", "functional": "PBE", "state": "relaxed", "cell": [[3.653, -6.334, 0.000], [3.653, 6.334, 0.000], [-2.462, 0.000, 8.126]], "species": ["Nd", "Nd", "Nd", "Nd", "Nd", "Nd", "Ir", "Ir", "Ir", "I", "I"], "fractional_positions": [[0.059, 0.395, 0.182], [0.271, 0.271, 0.820], [0.395, 0.059, 0.182], [0.605, 0.941, 0.818], [0.729, 0.729, 0.180], [0.941, 0.605, 0.818], [0.000, 0.000, 0.000], [0.332, 0.668, 0.000], [0.668, 0.332, 0.000], [0.166, 0.834, 0.500], [0.834, 0.166, 0.500]], "dos_at_fermi_per_ev_cell": 6.0, "e_form_raw_ev_per_atom": -0.79, "final_energy_ev_per_atom": -6.092}

Entry 5:
{"formula": "Nd3IrI", "functional": "PBE", "state": "relaxed", "cell": [[3.888, 0.000, 0.000], [0.000, 7.201, 0.000], [-0.012, 0.000, 11.381]], "species": ["Nd", "Nd", "Nd", "Nd", "Nd", "Nd", "Ir", "Ir", "I", "I"], "fractional_positions": [[0.249, 0.011, 0.229], [0.249, 0.489, 0.229], [0.250, 0.250, 0.531], [0.750, 0.750, 0.469], [0.751, 0.511, 0.771], [0.751, 0.989, 0.771], [0.251, 0.750, 0.655], [0.749, 0.250, 0.345], [0.251, 0.250, 0.965], [0.749, 0.750, 0.035]], "e_above_lowest_polymorph_ev_per_atom": 0.0000, "dos_at_fermi_per_ev_cell": 9.2, "e_form_raw_ev_per_atom": -0.67, "final_energy_ev_per_atom": -5.615}

Entry 6:
{"formula": "Nd2IrI", "functional": "PBE", "state": "relaxed", "cell": [[2.111, 1.219, 8.164], [-2.111, 1.219, 8.164], [0.000, -2.438, 8.164]], "species": ["Nd", "Nd", "Ir", "I"], "fractional_positions": [[0.000, 0.000, 0.000], [0.212, 0.212, 0.212], [0.606, 0.606, 0.606], [0.437, 0.437, 0.437]], "e_above_lowest_polymorph_ev_per_atom": 0.0164, "dos_at_fermi_per_ev_cell": 1.1, "e_form_raw_ev_per_atom": -0.95, "final_energy_ev_per_atom": -5.932}

Entry 7:
{"formula": "Nd4NiIrI2", "functional": "PBE", "state": "relaxed", "cell": [[7.222, 0.000, 0.000], [0.000, 4.188, 0.000], [-2.421, 0.000, 8.119]], "species": ["Nd", "Nd", "Nd", "Nd", "Ni", "Ir", "I", "I"], "fractional_positions": [[0.226, 0.000, 0.182], [0.270, 0.500, 0.816], [0.730, 0.500, 0.184], [0.774, 0.000, 0.818], [0.000, 0.500, 0.000], [0.500, 0.000, 0.000], [0.000, 0.000, 0.500], [0.500, 0.500, 0.500]], "dos_at_fermi_per_ev_cell": 4.4, "e_form_raw_ev_per_atom": -0.82, "final_energy_ev_per_atom": -5.423}

Entry 8:
{"formula": "Nd6Ni2IrI3", "functional": "PBE", "state": "relaxed", "cell": [[3.605, -6.247, 0.000], [3.605, 6.247, 0.000], [-2.405, 0.000, 8.108]], "species": ["Nd", "Nd", "Nd", "Nd", "Nd", "Nd", "Ni", "Ni", "Ir", "I", "I", "I"], "fractional_positions": [[0.104, 0.439, 0.816], [0.226, 0.226, 0.184], [0.439, 0.104, 0.816], [0.561, 0.896, 0.184], [0.774, 0.774, 0.816], [0.896, 0.561, 0.184], [0.167, 0.833, 0.000], [0.833, 0.167, 0.000], [0.500, 0.500, 0.000], [0.000, 0.000, 0.500], [0.333, 0.667, 0.500], [0.667, 0.333, 0.500]], "dos_at_fermi_per_ev_cell": 7.7, "e_form_raw_ev_per_atom": -0.77, "final_energy_ev_per_atom": -5.244}

Going through the records in order, we get total moment values of 0.00 0.00 0.00 0.23 0.00 0.00 0.00 0.00 μB per formula unit.